BaNp2Pd2Se6 | PBE | optimized geometry

a b c (Å): 7.295 7.702 7.861
angles (deg): 120.17 86.81 61.87
Each line ends with the local moment (μB).
Element x y z (fractional)
Ba 0.500 0.000 0.500  -0.01
Np 0.833 0.338 0.838  3.11
Np 0.167 0.662 0.162  3.11
Pd 0.383 0.572 0.703  -0.32
Pd 0.617 0.428 0.297  -0.32
Se 0.421 0.795 0.052  -0.15
Se 0.952 0.446 0.190  -0.16
Se 0.197 0.820 0.563  -0.15
Se 0.048 0.554 0.810  -0.16
Se 0.803 0.180 0.437  -0.15
Se 0.579 0.205 0.948  -0.15

Output
V = 28.271 Å³/atom
ΔE_f (raw) = -0.937 eV per atom